Entry 1:
CaTlZnCd after structural relaxation. Source: Alexandria, functional PBE.

Crystal system: cubic
Uncorrected energy (eV for the cell shown): -7.23

a = 5.1399 Å, b = 5.1399 Å, c = 5.1399 Å
α = 60.00°, β = 60.00°, γ = 60.00°
Closest atoms and distances in Å follow each position.
Positions (direct):
Tl 0.5000 0.5000 0.5000  4 Cd 3.15, 4 Ca 3.15
Ca 0.2500 0.2500 0.2500  4 Tl 3.15, 4 Zn 3.15
Zn 0.0000 0.0000 0.0000  4 Ca 3.15, 4 Cd 3.15
Cd 0.7500 0.7500 0.7500  4 Zn 3.15, 4 Tl 3.15

=====

Entry 2:
Ca4TlZnCd2 after structural relaxation. Source: Alexandria, functional PBE.

Crystal system: trigonal
Uncorrected energy (eV for the cell shown): -16.28

a = 5.3853 Å, b = 5.3853 Å, c = 9.3669 Å
α = 73.29°, β = 73.29°, γ = 60.00°
Closest atoms and distances in Å follow each position.
Positions (direct):
Ca 0.3774 0.3774 0.8679  1 Zn 3.25, 4 Cd 3.28-3.37, 3 Tl 3.32
Ca 0.8730 0.8730 0.3810  4 Cd 3.27-3.32, 3 Zn 3.28, 1 Tl 3.37
Ca 0.1270 0.1270 0.6190  4 Cd 3.27-3.32, 3 Zn 3.28, 1 Tl 3.37
Ca 0.6226 0.6226 0.1321  1 Zn 3.25, 4 Cd 3.28-3.37, 3 Tl 3.32
Tl 0.0000 0.0000 0.0000  8 Ca 3.32-3.37
Zn 0.5000 0.5000 0.5000  8 Ca 3.25-3.28
Cd 0.7498 0.7498 0.7505  8 Ca 3.27-3.37
Cd 0.2502 0.2502 0.2495  8 Ca 3.27-3.37

=====

Entry 3:
CaZrTlCd after structural relaxation. Source: Alexandria, functional PBE.

Crystal system: cubic
Uncorrected energy (eV for the cell shown): -14.14

a = 5.2135 Å, b = 5.2135 Å, c = 5.2135 Å
α = 60.00°, β = 60.00°, γ = 60.00°
Closest atoms and distances in Å follow each position.
Positions (direct):
Tl 0.2500 0.2500 0.2500  4 Zr 3.19, 4 Ca 3.19
Ca 0.0000 0.0000 0.0000  4 Tl 3.19, 4 Cd 3.19
Zr 0.5000 0.5000 0.5000  4 Cd 3.19, 4 Tl 3.19
Cd 0.7500 0.7500 0.7500  4 Ca 3.19, 4 Zr 3.19

=====

Entry 4:
Ca2TmCd after structural relaxation. Source: Alexandria, functional PBE.

Crystal system: trigonal
Relative energy among the computed polymorphs (eV per formula unit): 0.15

a = 3.7310 Å, b = 3.7310 Å, c = 11.1763 Å
α = 80.39°, β = 80.39°, γ = 60.00°
Closest atoms and distances in Å follow each position.
Positions (direct):
Ca 0.0759 0.0759 0.7723  3 Cd 3.31, 3 Tm 3.70
Ca 0.2573 0.2573 0.2281  3 Cd 3.29, 3 Tm 3.66
Tm 0.5005 0.5005 0.4984  6 Ca 3.66-3.70, 6 Tm 3.73
Cd 0.6663 0.6663 0.0011  6 Ca 3.29-3.31

=====

Entry 5:
Ca2TmCd2 after structural relaxation. Source: Alexandria, functional PBE.

Crystal system: orthorhombic
Uncorrected energy (eV for the cell shown): -11.43

a = 3.6665 Å, b = 3.7762 Å, c = 11.1277 Å
α = 80.23°, β = 90.00°, γ = 90.00°
Closest atoms and distances in Å follow each position.
Positions (direct):
Ca 0.0000 0.1731 0.6539  4 Cd 3.29, 2 Ca 3.67
Ca 0.0000 0.8269 0.3461  4 Cd 3.29, 2 Ca 3.67
Tm 0.0000 0.0000 0.0000  8 Cd 3.20
Cd 0.5000 0.4173 0.1654  4 Tm 3.20, 4 Ca 3.29
Cd 0.5000 0.5827 0.8346  4 Tm 3.20, 4 Ca 3.29

=====

Entry 6:
CaTm2Cd3 after structural relaxation. Source: Alexandria, functional PBE.

Crystal system: tetragonal
Uncorrected energy (eV for the cell shown): -15.69

a = 3.7117 Å, b = 3.7117 Å, c = 11.3874 Å
α = 90.00°, β = 90.00°, γ = 90.00°
Closest atoms and distances in Å follow each position.
Positions (direct):
Ca 0.5000 0.5000 0.5000  8 Cd 3.33, 4 Ca 3.71
Tm 0.5000 0.5000 0.8385  8 Cd 3.19-3.21
Tm 0.5000 0.5000 0.1615  8 Cd 3.19-3.21
Cd 0.0000 0.0000 0.0000  8 Tm 3.21
Cd 0.0000 0.0000 0.6795  4 Tm 3.19, 4 Ca 3.33
Cd 0.0000 0.0000 0.3205  4 Tm 3.19, 4 Ca 3.33

=====

Entry 7:
CaTmCd3 after structural relaxation. Source: Alexandria, functional PBE.

Crystal system: orthorhombic
Uncorrected energy (eV for the cell shown): -21.43

a = 3.5756 Å, b = 4.9532 Å, c = 14.8375 Å
α = 90.00°, β = 96.92°, γ = 90.00°
Closest atoms and distances in Å follow each position.
Positions (direct):
Ca 0.9243 0.7500 0.8487  12 Cd 3.37-3.52, 2 Ca 3.58
Ca 0.0757 0.2500 0.1513  12 Cd 3.37-3.52, 2 Ca 3.58
Tm 0.2149 0.7500 0.4299  7 Cd 3.14-3.24
Tm 0.7851 0.2500 0.5701  7 Cd 3.14-3.24
Cd 0.6236 0.7500 0.2472  3 Cd 2.90-2.96, 2 Tm 3.23
Cd 0.3764 0.2500 0.7528  3 Cd 2.90-2.96, 2 Tm 3.23
Cd 0.5251 0.7500 0.0503  3 Cd 2.89-2.90
Cd 0.4749 0.2500 0.9497  3 Cd 2.89-2.90
Cd 0.6784 0.2500 0.3569  2 Cd 2.96, 5 Tm 3.14-3.24
Cd 0.3216 0.7500 0.6431  2 Cd 2.96, 5 Tm 3.14-3.24

=====

Entry 8:
Ca2TmCd after structural relaxation. Source: Alexandria, functional PBE.

Crystal system: trigonal
Relative energy among the computed polymorphs (eV per formula unit): 0.91

a = 3.6319 Å, b = 3.6319 Å, c = 12.6165 Å
α = 81.72°, β = 81.72°, γ = 60.00°
Closest atoms and distances in Å follow each position.
Positions (direct):
Ca 0.0867 0.0867 0.7398  1 Cd 3.24
Ca 0.9133 0.9133 0.2602  1 Cd 3.24
Tm 0.5000 0.5000 0.5000  6 Tm 3.63, 6 Ca 3.65
Cd 0.0000 0.0000 0.0000  2 Ca 3.24

=====

Entry 9:
Ca2TmCd after structural relaxation. Source: Alexandria, functional PBE.

Crystal system: tetragonal
Relative energy among the computed polymorphs (eV per formula unit): 0.00

a = 4.0932 Å, b = 4.0932 Å, c = 7.5280 Å
α = 90.00°, β = 90.00°, γ = 90.00°
Closest atoms and distances in Å follow each position.
Positions (direct):
Ca 0.0000 0.0000 0.7682  4 Cd 3.38, 1 Ca 3.49, 4 Tm 3.53
Ca 0.0000 0.0000 0.2318  4 Cd 3.38, 1 Ca 3.49, 4 Tm 3.53
Tm 0.5000 0.5000 0.5000  8 Ca 3.53, 2 Cd 3.76
Cd 0.5000 0.5000 0.0000  8 Ca 3.38, 2 Tm 3.76

=====

Entry 10:
Ca2TmCd5 after structural relaxation. Source: Alexandria, functional PBE.

Crystal system: tetragonal
Uncorrected energy (eV for the cell shown): -15.34

a = 5.2520 Å, b = 5.2520 Å, c = 8.2805 Å
α = 108.49°, β = 108.49°, γ = 90.00°
Closest atoms and distances in Å follow each position.
Positions (direct):
Ca 0.7436 0.7436 0.4872  9 Cd 3.23-3.61
Ca 0.2564 0.2564 0.5128  9 Cd 3.23-3.61
Tm 0.0000 0.0000 0.0000  8 Cd 3.14
Cd 0.5000 0.5000 0.0000  8 Cd 3.14
Cd 0.8838 0.3838 0.7675  2 Tm 3.14, 3 Cd 3.14-3.44, 4 Ca 3.23-3.35
Cd 0.3838 0.8838 0.7675  3 Cd 3.14-3.44, 2 Tm 3.14, 4 Ca 3.23-3.35
Cd 0.1162 0.6162 0.2325  2 Tm 3.14, 3 Cd 3.14-3.44, 4 Ca 3.23-3.35
Cd 0.6162 0.1162 0.2325  3 Cd 3.14-3.44, 2 Tm 3.14, 4 Ca 3.23-3.35

=====

Summary of N(E_F) in states/eV per atom
0.679, 0.699, 0.784, 1.151, 0.848, 0.560, 0.876, 1.534, 0.873, 0.587
(order as listed above)